[1]
A plane-wave DFT calculation with PBE was carried out for a geometry-optimized Dy3Al3CuNi2 structure.

a b c (Å): 6.9552 6.9552 3.9364
angles (deg): 90.00 90.00 120.00
Space group P-62m (No. 189)
Inequivalent atoms, fractional coordinates:
Dy  0.0000  0.4183  0.0000 [3 per cell]
Al  0.0000  0.7607  0.5000 [3 per cell]
Cu  0.0000  0.0000  0.0000 [1 per cell]
Ni  0.3333  0.6667  0.5000 [2 per cell]

Calculated values
**DFT total energy**: -4.983 eV/atom
**Crystal system**: hexagonal

[2]
A plane-wave DFT calculation with PBE was carried out for a geometry-optimized PrDy2Al3Cu2Ni structure.

a b c (Å): 4.0435 12.1385 7.1010
angles (deg): 90.00 90.00 90.00
Space group Amm2 (No. 38)
Inequivalent atoms, fractional coordinates:
Pr  0.0000  0.0000  0.0000 [2 per cell]
Dy  0.0000  0.2059  0.6189 [4 per cell]
Al  0.5000  0.0000  0.6400 [2 per cell]
Al  0.5000  0.1156  0.3032 [4 per cell]
Cu  0.5000  0.1716  0.9118 [4 per cell]
Ni  0.0000  0.0000  0.4206 [2 per cell]

Calculated values
**DFT total energy**: -4.716 eV/atom
**Crystal system**: orthorhombic

[3]
A plane-wave DFT calculation with PBE was carried out for a geometry-optimized Pr2DyAl3Cu2Ni structure.

a b c (Å): 4.0890 12.4158 7.0294
angles (deg): 90.00 90.00 90.00
Space group Amm2 (No. 38)
Inequivalent atoms, fractional coordinates:
Pr  0.0000  0.2064  0.0000 [4 per cell]
Dy  0.0000  0.0000  0.6181 [2 per cell]
Al  0.5000  0.0000  0.9801 [2 per cell]
Al  0.5000  0.1113  0.3241 [4 per cell]
Cu  0.5000  0.1606  0.7042 [4 per cell]
Ni  0.0000  0.0000  0.2142 [2 per cell]

Calculated values
**DFT total energy**: -4.703 eV/atom
**Crystal system**: orthorhombic

[4]
A plane-wave DFT calculation with PBE was carried out for a geometry-optimized Tb2DyAl3CuNi2 structure.

a b c (Å): 3.9675 12.0498 6.9515
angles (deg): 90.00 90.00 90.00
Space group Amm2 (No. 38)
Inequivalent atoms, fractional coordinates:
Tb  0.0000  0.2095  0.0000 [4 per cell]
Dy  0.0000  0.0000  0.6285 [2 per cell]
Al  0.5000  0.0000  0.9706 [2 per cell]
Al  0.5000  0.1192  0.3294 [4 per cell]
Cu  0.0000  0.0000  0.2102 [2 per cell]
Ni  0.5000  0.1661  0.7094 [4 per cell]

Calculated values
**DFT total energy**: -4.984 eV/atom
**Crystal system**: orthorhombic

[5]
A plane-wave DFT calculation with PBE was carried out for a geometry-optimized TbDy2Al3CuNi2 structure.

a b c (Å): 3.9401 12.0398 6.9559
angles (deg): 90.00 90.00 90.00
Space group Amm2 (No. 38)
Inequivalent atoms, fractional coordinates:
Tb  0.0000  0.0000  0.0000 [2 per cell]
Dy  0.0000  0.2100  0.6301 [4 per cell]
Al  0.5000  0.0000  0.6583 [2 per cell]
Al  0.5000  0.1194  0.3014 [4 per cell]
Cu  0.0000  0.0000  0.4208 [2 per cell]
Ni  0.5000  0.1673  0.9200 [4 per cell]

Calculated values
**DFT total energy**: -4.983 eV/atom
**Crystal system**: orthorhombic

[6]
A plane-wave DFT calculation with PBE was carried out for a geometry-optimized Dy2TmAl3Cu2Ni structure.

a b c (Å): 3.9784 12.0804 6.9610
angles (deg): 90.00 90.00 90.00
Space group Amm2 (No. 38)
Inequivalent atoms, fractional coordinates:
Dy  0.0000  0.2058  0.0000 [4 per cell]
Tm  0.0000  0.0000  0.3831 [2 per cell]
Al  0.5000  0.0000  0.0257 [2 per cell]
Al  0.5000  0.1151  0.6768 [4 per cell]
Cu  0.5000  0.1644  0.2944 [4 per cell]
Ni  0.0000  0.0000  0.7905 [2 per cell]

Calculated values
**DFT total energy**: -4.727 eV/atom
**Crystal system**: orthorhombic